# 1
A plane-wave DFT calculation with PBEsol was carried out for a relaxed structure of Si3TeN.

## Properties
Space group: Pm-3m
Raw total energy, Ry per atom: -0.3847
Raw formation energy, eV per atom: 0.6241
DOS(E_F), states/eV/cell: 2.6

Lattice parameters (Å, degrees): 4.2559 4.2559 4.2559 90.00 90.00 90.00
With the nearest neighbours (Å) after each atom.
Positions (direct):
Si1 0.0000 0.5000 0.0000  2 N 2.13
Si2 0.0000 0.0000 0.5000  2 N 2.13
Si3 0.5000 0.0000 0.0000  2 N 2.13
Te1 0.5000 0.5000 0.5000  12 Si 3.01
N1 0.0000 0.0000 0.0000  6 Si 2.13


# 2
A plane-wave DFT calculation with PBEsol was carried out for a relaxed structure of TlSiTe2N.

## Properties
Space group: P4/mmm
Raw total energy, Ry per atom: -0.3488
Raw formation energy, eV per atom: 0.0454
DOS(E_F), states/eV/cell: 2.3

Lattice parameters (Å, degrees): 3.2905 5.8190 5.8190 90.00 90.00 90.00
With the nearest neighbours (Å) after each atom.
Positions (direct):
Tl1 0.5000 0.5000 0.5000  2 Tl 3.29, 8 Te 3.34
Te1 0.0000 0.0000 0.5000  2 Si 2.91
Te2 0.0000 0.5000 0.0000  2 Si 2.91
Si1 0.0000 0.0000 0.0000  2 N 1.65
N1 0.5000 0.0000 0.0000  2 Si 1.65


# 3
A plane-wave DFT calculation with PBEsol was carried out for a relaxed structure of SiTeWN2.

## Properties
Space group: P4/mmm
Raw total energy, Ry per atom: -0.4876
Raw formation energy, eV per atom: 1.3930
DOS(E_F), states/eV/cell: 4.0

Lattice parameters (Å, degrees): 3.6096 3.6096 6.5036 90.00 90.00 90.00
With the nearest neighbours (Å) after each atom.
Positions (direct):
Si1 0.0000 0.0000 0.0000  4 N 1.80
Te1 0.0000 0.0000 0.5000  4 W 2.55
W1 0.5000 0.5000 0.5000  4 Te 2.55
N1 0.0000 0.5000 0.0000  2 Si 1.80
N2 0.5000 0.0000 0.0000  2 Si 1.80


# 4
A plane-wave DFT calculation with PBEsol was carried out for a relaxed structure of Ti3SiN.

## Properties
Space group: Pm-3m
Raw total energy, Ry per atom: -0.4813
Raw formation energy, eV per atom: 1.2994
DOS(E_F), states/eV/cell: 8.0

Lattice parameters (Å, degrees): 4.5205 4.5205 4.5205 90.00 90.00 90.00
With the nearest neighbours (Å) after each atom.
Positions (direct):
Si1 0.0000 0.0000 0.0000  6 Ti 2.26
N1 0.5000 0.5000 0.5000  12 Ti 3.20
Ti1 0.0000 0.5000 0.0000  2 Si 2.26
Ti2 0.0000 0.0000 0.5000  2 Si 2.26
Ti3 0.5000 0.0000 0.0000  2 Si 2.26


# 5
A plane-wave DFT calculation with PBEsol was carried out for a relaxed structure of SiW3N.

## Properties
Space group: Pm-3m
Raw total energy, Ry per atom: -0.6228
Raw formation energy, eV per atom: 2.6653
DOS(E_F), states/eV/cell: 3.9

Lattice parameters (Å, degrees): 4.4291 4.4291 4.4291 90.00 90.00 90.00
With the nearest neighbours (Å) after each atom.
Positions (direct):
Si1 0.0000 0.0000 0.0000  6 W 2.21
W1 0.0000 0.5000 0.0000  2 Si 2.21
W2 0.0000 0.0000 0.5000  2 Si 2.21
W3 0.5000 0.0000 0.0000  2 Si 2.21
N1 0.5000 0.5000 0.5000  12 W 3.13


# 6
A plane-wave DFT calculation with PBEsol was carried out for a relaxed structure of Y5Si3N9.

## Properties
Space group: Cmce
Raw total energy, Ry per atom: -0.6696
Raw formation energy, eV per atom: -1.5757
DOS(E_F), states/eV/cell: 0.0

Lattice parameters (Å, degrees): 7.4569 7.4569 15.2501 90.00 90.00 93.49
With the nearest neighbours (Å) after each atom.
Positions (direct):
Y1 0.5027 0.4973 0.8299  7 N 2.27-2.53
Y2 0.4973 0.5027 0.1701  7 N 2.27-2.53
Y3 0.9973 0.0027 0.3299  7 N 2.27-2.53
Y4 0.0027 0.9973 0.6701  7 N 2.27-2.53
Y5 0.4453 0.9702 0.8696  3 N 2.29-2.56
Y6 0.9702 0.4453 0.1304  3 N 2.29-2.56
Y7 0.4702 0.9453 0.3696  3 N 2.29-2.56
Y8 0.9453 0.4702 0.6304  3 N 2.29-2.56
Y9 0.5547 0.0298 0.1304  3 N 2.29-2.56
Y10 0.0298 0.5547 0.8696  3 N 2.29-2.56
Y11 0.5298 0.0547 0.6304  3 N 2.29-2.56
Y12 0.0547 0.5298 0.3696  3 N 2.29-2.56
Y13 0.4885 0.5115 0.6090  1 N 2.20
Y14 0.5115 0.4885 0.3910  1 N 2.20
Y15 0.0115 0.9885 0.1090  1 N 2.20
Y16 0.9885 0.0115 0.8910  1 N 2.20
Y17 0.2959 0.2959 0.0000  4 N 2.27-2.35
Y18 0.7959 0.7959 0.5000  4 N 2.27-2.35
Y19 0.7041 0.7041 0.0000  4 N 2.27-2.35
Y20 0.2041 0.2041 0.5000  4 N 2.27-2.35
Si1 0.2435 0.7565 0.0149  4 N 1.71-1.76
Si2 0.7565 0.2435 0.9851  4 N 1.71-1.76
Si3 0.2565 0.7435 0.5149  4 N 1.71-1.76
Si4 0.7435 0.2565 0.4851  4 N 1.71-1.76
Si5 0.7611 0.2389 0.7759  4 N 1.69-1.71
Si6 0.2389 0.7611 0.2241  4 N 1.69-1.71
Si7 0.7389 0.2611 0.2759  4 N 1.69-1.71
Si8 0.2611 0.7389 0.7241  4 N 1.69-1.71
Si9 0.7144 0.7856 0.7500  4 N 1.71-1.72
Si10 0.7856 0.7144 0.2500  4 N 1.71-1.72
Si11 0.2856 0.2144 0.2500  4 N 1.71-1.72
Si12 0.2144 0.2856 0.7500  4 N 1.71-1.72
N1 0.6466 0.3534 0.6993  1 Si 1.71
N2 0.3534 0.6466 0.3007  1 Si 1.71
N3 0.8534 0.1466 0.1993  1 Si 1.71
N4 0.1466 0.8534 0.8007  1 Si 1.71
N5 0.7035 0.2965 0.8796  2 Si 1.70-1.71
N6 0.2965 0.7035 0.1204  2 Si 1.70-1.71
N7 0.7965 0.2035 0.3796  2 Si 1.70-1.71
N8 0.2035 0.7965 0.6204  2 Si 1.70-1.71
N9 0.3664 0.6336 0.9424  1 Si 1.73
N10 0.6336 0.3664 0.0576  1 Si 1.73
N11 0.1336 0.8664 0.4424  1 Si 1.73
N12 0.8664 0.1336 0.5576  1 Si 1.73
N13 0.2328 0.5137 0.7369  2 Si 1.69-1.71
N14 0.5137 0.2328 0.2631  2 Si 1.69-1.71
N15 0.0137 0.7328 0.2369  2 Si 1.69-1.71
N16 0.7328 0.0137 0.7631  2 Si 1.69-1.71
N17 0.7672 0.4863 0.2631  2 Si 1.69-1.71
N18 0.4863 0.7672 0.7369  2 Si 1.69-1.71
N19 0.9863 0.2672 0.7631  2 Si 1.69-1.71
N20 0.2672 0.9863 0.2369  2 Si 1.69-1.71
N21 0.3074 0.2323 0.8491  1 Si 1.72
N22 0.2323 0.3074 0.1509  1 Si 1.72
N23 0.7323 0.8074 0.3491  1 Si 1.72
N24 0.8074 0.7323 0.6509  1 Si 1.72
N25 0.6926 0.7677 0.1509  1 Si 1.72
N26 0.7677 0.6926 0.8491  1 Si 1.72
N27 0.2677 0.1926 0.6509  1 Si 1.72
N28 0.1926 0.2677 0.3491  1 Si 1.72
N29 0.2804 0.9912 0.0029  1 Si 1.76
N30 0.9912 0.2804 0.9971  1 Si 1.76
N31 0.4912 0.7804 0.5029  1 Si 1.76
N32 0.7804 0.4912 0.4971  1 Si 1.76
N33 0.7196 0.0088 0.9971  1 Si 1.76
N34 0.0088 0.7196 0.0029  1 Si 1.76
N35 0.5088 0.2196 0.4971  1 Si 1.76
N36 0.2196 0.5088 0.5029  1 Si 1.76


# 7
A plane-wave DFT calculation with PBEsol was carried out for a relaxed structure of Y3Si6N11.

## Properties
Space group: P4bm
Raw total energy, Ry per atom: -0.6559
Raw formation energy, eV per atom: -1.4866
DOS(E_F), states/eV/cell: 0.0

Lattice parameters (Å, degrees): 4.8461 9.8878 9.8878 90.00 90.00 90.00
With the nearest neighbours (Å) after each atom.
Positions (direct):
Y1 0.9864 0.3171 0.8171  5 N 2.32-2.60
Y2 0.9864 0.6829 0.1829  5 N 2.32-2.60
Y3 0.9864 0.1829 0.3171  5 N 2.32-2.60
Y4 0.9864 0.8171 0.6829  5 N 2.32-2.60
Y5 0.9734 0.5000 0.5000  8 N 2.49-2.53
Y6 0.9734 0.0000 0.0000  8 N 2.49-2.53
Si1 0.5322 0.4199 0.2921  4 N 1.71-1.75
Si2 0.5322 0.5801 0.7079  4 N 1.71-1.75
Si3 0.5322 0.0801 0.7921  4 N 1.71-1.75
Si4 0.5322 0.9199 0.2079  4 N 1.71-1.75
Si5 0.5322 0.2921 0.5801  4 N 1.71-1.75
Si6 0.5322 0.7079 0.4199  4 N 1.71-1.75
Si7 0.5322 0.7921 0.9199  4 N 1.71-1.75
Si8 0.5322 0.2079 0.0801  4 N 1.71-1.75
Si9 0.0449 0.8806 0.3806  4 N 1.68-1.75
Si10 0.0449 0.1194 0.6194  4 N 1.68-1.75
Si11 0.0449 0.6194 0.8806  4 N 1.68-1.75
Si12 0.0449 0.3806 0.1194  4 N 1.68-1.75
N1 0.6572 0.3182 0.4208  2 Si 1.71-1.73
N2 0.6572 0.6818 0.5792  2 Si 1.71-1.73
N3 0.6572 0.1818 0.9208  2 Si 1.71-1.73
N4 0.6572 0.8182 0.0792  2 Si 1.71-1.73
N5 0.6572 0.4208 0.6818  2 Si 1.71-1.73
N6 0.6572 0.5792 0.3182  2 Si 1.71-1.73
N7 0.6572 0.9208 0.8182  2 Si 1.71-1.73
N8 0.6572 0.0792 0.1818  2 Si 1.71-1.73
N9 0.1760 0.4201 0.2784  2 Si 1.73-1.74
N10 0.1760 0.5799 0.7216  2 Si 1.73-1.74
N11 0.1760 0.0799 0.7784  2 Si 1.73-1.74
N12 0.1760 0.9201 0.2216  2 Si 1.73-1.74
N13 0.1760 0.2784 0.5799  2 Si 1.73-1.74
N14 0.1760 0.7216 0.4201  2 Si 1.73-1.74
N15 0.1760 0.7784 0.9201  2 Si 1.73-1.74
N16 0.1760 0.2216 0.0799  2 Si 1.73-1.74
N17 0.6958 0.8477 0.3477  3 Si 1.75
N18 0.6958 0.1523 0.6523  3 Si 1.75
N19 0.6958 0.6523 0.8477  3 Si 1.75
N20 0.6958 0.3477 0.1523  3 Si 1.75
N21 0.0793 0.5000 0.0000  2 Si 1.68
N22 0.0793 0.0000 0.5000  2 Si 1.68


# 8
A plane-wave DFT calculation with PBEsol was carried out for a relaxed structure of Zr5Si3N.

## Properties
Space group: P6_3/mcm
Raw total energy, Ry per atom: -0.6696
Raw formation energy, eV per atom: -1.1981
DOS(E_F), states/eV/cell: 8.3

Lattice parameters (Å, degrees): 5.5534 7.8704 7.8704 120.00 90.00 90.00
With the nearest neighbours (Å) after each atom.
Positions (direct):
Zr1 0.7500 0.0000 0.7668  2 N 2.30
Zr2 0.2500 0.0000 0.2332  2 N 2.30
Zr3 0.7500 0.7668 0.0000  2 N 2.30
Zr4 0.2500 0.2332 0.0000  2 N 2.30
Zr5 0.7500 0.2332 0.2332  2 N 2.30
Zr6 0.2500 0.7668 0.7668  2 N 2.30
Zr7 0.0000 0.3333 0.6667  6 Si 2.76, 2 Zr 2.78
Zr8 0.0000 0.6667 0.3333  6 Si 2.76, 2 Zr 2.78
Zr9 0.5000 0.6667 0.3333  6 Si 2.76, 2 Zr 2.78
Zr10 0.5000 0.3333 0.6667  6 Si 2.76, 2 Zr 2.78
Si1 0.7500 0.0000 0.4057  9 Zr 2.76-3.09
Si2 0.2500 0.0000 0.5943  9 Zr 2.76-3.09
Si3 0.7500 0.4057 0.0000  9 Zr 2.76-3.09
Si4 0.2500 0.5943 0.0000  9 Zr 2.76-3.09
Si5 0.7500 0.5943 0.5943  9 Zr 2.76-3.09
Si6 0.2500 0.4057 0.4057  9 Zr 2.76-3.09
N1 0.0000 0.0000 0.0000  6 Zr 2.30
N2 0.5000 0.0000 0.0000  6 Zr 2.30


# 9
A plane-wave DFT calculation with PBEsol was carried out for a relaxed structure of ZrSi3N.

## Properties
Space group: Pm-3m
Raw total energy, Ry per atom: -0.5125
Raw formation energy, eV per atom: -0.0014
DOS(E_F), states/eV/cell: 1.5

Lattice parameters (Å, degrees): 4.0594 4.0594 4.0594 90.00 90.00 90.00
With the nearest neighbours (Å) after each atom.
Positions (direct):
Si1 0.0000 0.5000 0.0000  2 N 2.03
Si2 0.0000 0.0000 0.5000  2 N 2.03
Si3 0.5000 0.0000 0.0000  2 N 2.03
Zr1 0.5000 0.5000 0.5000  12 Si 2.87
N1 0.0000 0.0000 0.0000  6 Si 2.03


Q: Among the records above, which one has the highest raw formation energy?
A: SiW3N


Q: Among the records above, which one has the highest DOS(E_F)?
A: Zr5Si3N